# 1
This record from Alexandria describes an optimized crystal structure of Pm2Ho2Tm7. The functional is PBE-GGA.

Summary:
- ΔH_f (0 K) (eV per atom) = 0.16
- ΔE to the lowest computed polymorph (meV per atom) = 4.1
- density (g/cm³) = 8.57
- spin magnetization (μB per cell) = 0.00
- electronic total energy (eV for the cell shown) = -96.35

CIF file:
```
data_Pm2Ho2Tm7
_chemical_formula_sum 'Pm4 Ho4 Tm14'
_space_group_name_H-M_alt 'C 1 2/m 1'
_space_group_IT_number 12
_space_group_name_Hall '-C 2y'
_cell_length_a 11.071
_cell_length_b 11.495
_cell_length_c 5.990
_cell_angle_alpha 90.00
_cell_angle_beta 113.60
_cell_angle_gamma 90.00
loop_
_atom_site_label
_atom_site_type_symbol
_atom_site_fract_x
_atom_site_fract_y
_atom_site_fract_z
Pm1 Pm 0.000 0.212 0.000
Ho1 Ho 0.095 0.500 0.309
Tm1 Tm 0.000 0.000 0.500
Tm2 Tm 0.173 0.237 0.675
Tm3 Tm 0.235 0.000 0.080
```

=====

# 2
This record from Alexandria describes an optimized crystal structure of PmNdY2. The functional is PBE-GGA.

Summary:
- ΔH_f (0 K) (eV per atom) = 0.01
- ΔE to the lowest computed polymorph (meV per atom) = 2.4
- density (g/cm³) = 5.78
- spin magnetization (μB per cell) = 0.00
- electronic total energy (eV for the cell shown) = -67.19

CIF file:
```
data_PmNdY2
_chemical_formula_sum 'Pm3 Nd3 Y6'
_space_group_name_H-M_alt 'R 3 m'
_space_group_IT_number 160
_space_group_name_Hall 'R 3 -2"'
_cell_length_a 3.6380
_cell_length_b 3.6380
_cell_length_c 35.1283
_cell_angle_alpha 90.00
_cell_angle_beta 90.00
_cell_angle_gamma 120.00
loop_
_atom_site_label
_atom_site_type_symbol
_atom_site_fract_x
_atom_site_fract_y
_atom_site_fract_z
Pm1 Pm 0.0000 0.0000 0.0000
Nd1 Nd 0.0000 0.0000 0.8339
Y1 Y 0.0000 0.0000 0.2505
Y2 Y 0.0000 0.0000 0.4172
```

=====

# 3
This record from Alexandria describes an optimized crystal structure of Sm12Y6Mg. The functional is PBE-GGA.

Summary:
- ΔH_f (0 K) (eV per atom) = 0.13
- ΔE to the lowest computed polymorph (meV per atom) = 0.0
- density (g/cm³) = 6.09
- spin magnetization (μB per cell) = 0.00
- electronic total energy (eV for the cell shown) = -283.88

CIF file:
```
data_Sm12Y6Mg
_chemical_formula_sum 'Sm36 Y18 Mg3'
_space_group_name_H-M_alt 'R -3 m'
_space_group_IT_number 166
_space_group_name_Hall '-R 3 2"'
_cell_length_a 13.1296
_cell_length_b 13.1296
_cell_length_c 12.9419
_cell_angle_alpha 90.00
_cell_angle_beta 90.00
_cell_angle_gamma 120.00
loop_
_atom_site_label
_atom_site_type_symbol
_atom_site_fract_x
_atom_site_fract_y
_atom_site_fract_z
Sm1 Sm 0.0000 0.2609 0.0000
Sm2 Sm 0.0564 0.5282 0.1122
Y1 Y 0.0902 0.1803 0.7720
Mg1 Mg 0.0000 0.0000 0.0000
```

=====

# 4
This record from Alexandria describes an optimized crystal structure of Cs2AcInS4. The functional is PBE-GGA.

Summary:
- formation energy without anion corrections (eV per atom) = -1.22
- density (g/cm³) = 4.85
- spin magnetization (μB per cell) = 0.00
- electronic total energy (eV for the cell shown) = -139.26

CIF file:
```
data_Cs2AcInS4
_chemical_formula_sum 'Cs8 Ac4 In4 S16'
_space_group_name_H-M_alt 'C 1 2/c 1'
_space_group_IT_number 15
_space_group_name_Hall '-C 2yc'
_cell_length_a 12.585
_cell_length_b 12.705
_cell_length_c 8.672
_cell_angle_alpha 90.00
_cell_angle_beta 133.33
_cell_angle_gamma 90.00
loop_
_atom_site_label
_atom_site_type_symbol
_atom_site_fract_x
_atom_site_fract_y
_atom_site_fract_z
Cs1 Cs 0.000 0.000 0.000
Cs2 Cs 0.250 0.250 0.000
Ac1 Ac 0.250 0.250 0.500
In1 In 0.000 0.500 0.000
S1 S 0.001 0.276 0.031
S2 S 0.195 0.488 0.448
```

=====

# 5
This record from Alexandria describes an optimized crystal structure of LaPN3. The functional is PBE-GGA.

Summary:
- formation energy without anion corrections (eV per atom) = -0.54
- density (g/cm³) = 5.23
- spin magnetization (μB per cell) = 0.00
- electronic total energy (eV for the cell shown) = -152.05

CIF file:
```
data_LaPN3
_chemical_formula_sum 'La4 P4 N12'
_space_group_name_H-M_alt 'P 1 21/c 1'
_space_group_IT_number 14
_space_group_name_Hall '-P 2ybc'
_cell_length_a 8.547
_cell_length_b 4.030
_cell_length_c 8.032
_cell_angle_alpha 90.00
_cell_angle_beta 103.63
_cell_angle_gamma 90.00
loop_
_atom_site_label
_atom_site_type_symbol
_atom_site_fract_x
_atom_site_fract_y
_atom_site_fract_z
La1 La 0.170 0.163 0.185
P1 P 0.437 0.744 0.999
N1 N 0.121 0.656 0.378
N2 N 0.248 0.636 0.983
N3 N 0.456 0.014 0.845
```

=====

What did the fourth record say?
This record from Alexandria describes an optimized crystal structure of Cs2AcInS4. The functional is PBE-GGA.

Summary:
- formation energy without anion corrections (eV per atom) = -1.22
- density (g/cm³) = 4.85
- spin magnetization (μB per cell) = 0.00
- electronic total energy (eV for the cell shown) = -139.26

CIF file:
```
data_Cs2AcInS4
_chemical_formula_sum 'Cs8 Ac4 In4 S16'
_space_group_name_H-M_alt 'C 1 2/c 1'
_space_group_IT_number 15
_space_group_name_Hall '-C 2yc'
_cell_length_a 12.585
_cell_length_b 12.705
_cell_length_c 8.672
_cell_angle_alpha 90.00
_cell_angle_beta 133.33
_cell_angle_gamma 90.00
loop_
_atom_site_label
_atom_site_type_symbol
_atom_site_fract_x
_atom_site_fract_y
_atom_site_fract_z
Cs1 Cs 0.000 0.000 0.000
Cs2 Cs 0.250 0.250 0.000
Ac1 Ac 0.250 0.250 0.500
In1 In 0.000 0.500 0.000
S1 S 0.001 0.276 0.031
S2 S 0.195 0.488 0.448
```